No. 1
An optimized crystal structure of SrCd2Pb2. Source: the Alexandria database, functional GGA-PBE.

a = 8.793 Å, b = 8.793 Å, c = 3.865 Å
α = 90.00°, β = 90.00°, γ = 90.00°
Space group P4/mbm (No. 127)
Unique sites:
Sr 0.000 0.000 0.000
Cd 0.119 0.381 0.000
Pb 0.180 0.680 0.500

Computed properties:
For the total moment, the calculation gives 0.0 μB/f.u. Its energy of formation is -0.1780 eV per atom.

=====

No. 2
An optimized crystal structure of PmNdSb. Source: the Alexandria database, functional GGA-PBE.

a = 5.0711 Å, b = 5.0711 Å, c = 4.3713 Å
α = 90.00°, β = 90.00°, γ = 120.00°
Space group P3m1 (No. 156)
Unique sites:
Pm 0.0000 0.0000 0.0000
Nd 0.3333 0.6667 0.4645
Sb 0.6667 0.3333 0.7453

Computed properties:
For the total moment, the calculation gives 0.0 μB/f.u. Its final energy is -15.0 eV for the cell shown.

=====

No. 3
An optimized crystal structure of K3TeH. Source: the Alexandria database, functional GGA-PBE.

a = 7.8886 Å, b = 7.8886 Å, c = 21.2613 Å
α = 90.00°, β = 90.00°, γ = 120.00°
Space group R-3 (No. 148, hexagonal axes)
Unique sites:
K 0.0238 0.4130 0.4207
Te 0.0000 0.0000 0.3709
H 0.0000 0.0000 0.1547

Computed properties:
For the total moment, the calculation gives 0.0 μB/f.u. Its final energy is -76.1 eV for the cell shown.

=====

No. 4
An optimized crystal structure of CaErZnCd. Source: the Alexandria database, functional GGA-PBE.

a = 3.685 Å, b = 3.685 Å, c = 7.393 Å
α = 90.00°, β = 90.00°, γ = 90.00°
Space group P4mm (No. 99)
Unique sites:
Ca 0.000 0.000 0.000
Er 0.000 0.000 0.529
Zn 0.500 0.500 0.741
Cd 0.500 0.500 0.278

Computed properties:
For the total moment, the calculation gives 0.0 μB/f.u. Its energy of formation is -0.3193 eV per atom.

=====

No. 5
An optimized crystal structure of SrFeMo2. Source: the Alexandria database, functional GGA-PBE.

a = 2.743 Å, b = 5.060 Å, c = 10.650 Å
α = 90.00°, β = 90.00°, γ = 90.00°
Space group Immm (No. 71)
Unique sites:
Sr 0.000 0.000 0.000
Fe 0.000 0.000 0.500
Mo 0.000 0.500 0.203

Computed properties:
For the total moment, the calculation gives 0.9 μB/f.u. Its energy of formation is 0.8171 eV per atom.

=====

No. 6
An optimized crystal structure of KBa2Ir. Source: the Alexandria database, functional GGA-PBE.

a = 4.686 Å, b = 6.000 Å, c = 14.836 Å
α = 90.00°, β = 90.00°, γ = 90.00°
Space group Amm2 (No. 38)
Unique sites:
K 0.000 0.000 0.000
Ba 0.000 0.000 0.716
Ba 0.500 0.000 0.371
Ir 0.500 0.000 0.837

Computed properties:
For the total moment, the calculation gives 0.0 μB/f.u. Its energy of formation is 0.1434 eV per atom.

=====

No. 7
An optimized crystal structure of YHfMgTe2. Source: the Alexandria database, functional GGA-PBE.

a = 5.519 Å, b = 5.519 Å, c = 5.816 Å
α = 90.00°, β = 90.00°, γ = 90.00°
Space group P4/mmm (No. 123)
Unique sites:
Y 0.000 0.000 0.000
Hf 0.000 0.000 0.500
Mg 0.500 0.500 0.000
Te 0.000 0.500 0.500

Computed properties:
For the total moment, the calculation gives 0.0 μB/f.u. Its final energy is -23.6 eV for the cell shown.

=====

No. 8
An optimized crystal structure of CdCo2Bi2. Source: the Alexandria database, functional GGA-PBE.

a = 3.464 Å, b = 3.464 Å, c = 18.907 Å
α = 90.00°, β = 90.00°, γ = 90.00°
Space group I4/mmm (No. 139)
Unique sites:
Cd 0.000 0.000 0.000
Co 0.000 0.500 0.250
Bi 0.000 0.000 0.364

Computed properties:
For the total moment, the calculation gives 3.2 μB/f.u. Its energy of formation is 0.2737 eV per atom.